VASP calculation (PBE+U) on crystalline Sr3Mo2O7 at its relaxed geometry.

abc: 11.033 11.033 11.033
angles: 158.95 158.95 29.94
Element x y z (fractional)
Sr1 0.000 0.000 0.000
Sr2 0.188 0.188 0.000
Sr3 0.812 0.812 0.000
Mo1 0.401 0.401 0.000
Mo2 0.599 0.599 0.000
O1 0.098 0.598 0.500
O2 0.302 0.302 0.000
O3 0.402 0.902 0.500
O4 0.500 0.500 0.000
O5 0.598 0.098 0.500
O6 0.698 0.698 0.000
O7 0.902 0.402 0.500

Computed properties:
Symmetry: I4/mmm, No. 139
DOS(E_F) in states/eV per cell: 3.03
Total DFT energy (no corrections) in eV/cell: -81.9